Record 1
Ca2ZnAs | PBE-GGA | relaxed

The structure in POSCAR format:
```
Ca2ZnAs
1.0
4.2947 0.0000 0.0000
0.0000 4.2947 0.0000
0.0000 0.0000 10.8221
Ca Zn As
4 2 2
Cartesian
0.0000 0.0000 0.0000 Ca
0.0000 2.1473 2.7055 Ca
2.1473 0.0000 8.1166 Ca
2.1473 2.1473 5.4111 Ca
0.0000 2.1473 8.1166 Zn
2.1473 0.0000 2.7055 Zn
0.0000 0.0000 5.4111 As
2.1473 2.1473 0.0000 As
```

The space-group type is No. 119. The energy relative to the lowest polymorph listed for this composition comes out at 266 meV per atom.


Record 2
RbSrMg2Ir | PBE-GGA | relaxed

The structure in POSCAR format:
```
RbSrMg2Ir
1.0
5.3336 0.0000 0.0000
0.0000 5.3336 0.0000
0.0000 0.0000 5.7398
Rb Sr Mg Ir
1 1 2 1
Cartesian
0.0000 0.0000 0.0000 Rb
2.6668 2.6668 0.0000 Sr
0.0000 2.6668 2.8699 Mg
2.6668 0.0000 2.8699 Mg
2.6668 2.6668 2.8699 Ir
```

The space-group type is No. 123.


Record 3
CdPb2F | PBE-GGA | relaxed

The structure in POSCAR format:
```
CdPb2F
1.0
5.5053 0.0000 0.0000
0.0000 5.5053 0.0000
0.0000 0.0000 16.0028
Cd Pb F
4 8 4
Cartesian
0.0000 0.0000 0.0000 Cd
0.0000 2.7526 4.0007 Cd
2.7526 0.0000 12.0021 Cd
2.7526 2.7526 8.0014 Cd
0.8207 1.3763 10.0017 Pb
1.3763 3.5733 14.0024 Pb
1.3763 4.6846 6.0010 Pb
1.9320 1.3763 2.0003 Pb
3.5733 4.1290 2.0003 Pb
4.1290 0.8207 6.0010 Pb
4.1290 1.9320 14.0024 Pb
4.6846 4.1290 10.0017 Pb
0.0000 0.0000 8.0014 F
0.0000 2.7526 12.0021 F
2.7526 0.0000 4.0007 F
2.7526 2.7526 0.0000 F
```

The calculation puts the formation energy from raw total energies at -0.55 eV per atom. The space-group type is No. 122.


Record 4
NdDy3As4 | PBE-GGA | relaxed

The structure in POSCAR format:
```
NdDy3As4
1.0
5.8797 0.0000 0.0000
0.0000 5.8797 0.0000
0.0000 0.0000 5.8797
Nd Dy As
1 3 4
Cartesian
0.0000 0.0000 0.0000 Nd
0.0000 2.9399 2.9399 Dy
2.9399 0.0000 2.9399 Dy
2.9399 2.9399 0.0000 Dy
0.0000 0.0000 2.9399 As
0.0000 2.9399 0.0000 As
2.9399 0.0000 0.0000 As
2.9399 2.9399 2.9399 As
```

The space-group type is No. 221. The energy relative to the lowest polymorph listed for this composition comes out at 3 meV per atom.


Number 1: total energy -2.9692 eV/atom. Number 2: total energy -2.9638 eV/atom. Number 3: total energy -3.1006 eV/atom. Number 4: total energy -6.1670 eV/atom.